Entry 1:
Material: Ba2SrAu
Method: DFT, GGA-PBEsol
State: relaxed

Summary:
* VASP energy: -11.268 eV/cell
* density of states at the Fermi level: 1.0271 states/eV per atom
* ΔE_f: -301.5 meV per atom
* SG: Imm2

a = 4.063 Å, b = 6.127 Å, c = 7.653 Å
α = 113.60°, β = 105.39°, γ = 90.00°
Fractional positions:
Sr: 0.571 0.071 0.141
Ba: 0.933 0.433 0.865
Au: 0.246 0.246 0.491
Ba: 0.751 0.751 0.503

Entry 2:
Material: DySbO4
Method: DFT, GGA-PBEsol
State: relaxed

Summary:
* E_form (uncorrected): -2457 meV per atom
* VASP energy: -181.095 eV/cell
* density of states at the Fermi level: 0.0000 states/eV per atom
* SG: P2_1/c

a = 5.323 Å, b = 7.476 Å, c = 7.550 Å
α = 98.34°, β = 90.00°, γ = 90.00°
Fractional positions:
O: 0.615 0.937 0.830
Sb: 0.729 0.191 0.837
O: 0.597 0.690 0.070
O: 0.385 0.063 0.170
O: 0.506 0.381 0.328
O: 0.885 0.437 0.830
Dy: 0.726 0.110 0.358
Dy: 0.226 0.390 0.642
Dy: 0.774 0.610 0.358
Dy: 0.274 0.890 0.642
O: 0.903 0.190 0.070
O: 0.006 0.119 0.672
O: 0.994 0.881 0.328
Sb: 0.229 0.309 0.163
O: 0.115 0.563 0.170
O: 0.403 0.310 0.930
O: 0.097 0.810 0.930
Sb: 0.271 0.809 0.163
O: 0.518 0.172 0.614
O: 0.482 0.828 0.386
O: 0.494 0.619 0.672
O: 0.982 0.672 0.614
O: 0.018 0.328 0.386
Sb: 0.771 0.691 0.837

Entry 3:
Material: TaTe3As
Method: DFT, GGA-PBEsol
State: relaxed

Summary:
* E_form (uncorrected): 599 meV per atom
* VASP energy: -25.239 eV/cell
* density of states at the Fermi level: 1.1717 states/eV per atom
* SG: Pm-3m

a = 5.292 Å, b = 5.292 Å, c = 5.292 Å
α = 90.00°, β = 90.00°, γ = 90.00°
Each line ends with the local moment (μB).
Fractional positions:
Te: 0.000 0.500 0.000  -0.03
Te: 0.500 0.000 0.000  -0.03
As: 0.500 0.500 0.500  0.38
Te: 0.000 0.000 0.500  -0.03
Ta: 0.000 0.000 0.000  0.20

Entry 4:
Material: K2CdAu
Method: DFT, GGA-PBEsol
State: relaxed

Summary:
* VASP energy: -7.526 eV/cell
* density of states at the Fermi level: 0.3176 states/eV per atom
* ΔE_f: -34.5 meV per atom
* SG: P4/mmm

a = 3.945 Å, b = 3.953 Å, c = 8.186 Å
α = 90.00°, β = 90.00°, γ = 90.00°
Fractional positions:
K: 0.000 0.000 0.722
Au: 0.500 0.500 0.500
Cd: 0.500 0.500 0.000
K: 0.000 0.000 0.278